[1]
# TbErTlIn PBE relaxed
data_TbErTlIn
_chemical_formula_sum 'Tb1 Er1 Tl1 In1'
_cell_length_a 5.332
_cell_length_b 5.332
_cell_length_c 5.332
_cell_angle_alpha 60.00
_cell_angle_beta 60.00
_cell_angle_gamma 60.00
_symmetry_space_group_name_H-M 'P 1'
_symmetry_Int_Tables_number 1
loop_
_symmetry_equiv_pos_as_xyz
'x,y,z'
loop_
_atom_site_label
_atom_site_type_symbol
_atom_site_fract_x
_atom_site_fract_y
_atom_site_fract_z
_atom_site_occupancy
Tl1 Tl 0.000 0.000 0.000 1
Er1 Er 0.250 0.250 0.250 1
In1 In 0.500 0.500 0.500 1
Tb1 Tb 0.750 0.750 0.750 1
# Formation enthalpy at 0 K ... -396 meV/atom
# Calculated total energy ... -3.970 eV per atom

[2]
# Tb6Er3Tm2In PBE relaxed
data_Tb6Er3Tm2In
_chemical_formula_sum 'Tb6 Er3 Tm2 In1'
_cell_length_a 6.078
_cell_length_b 6.078
_cell_length_c 11.561
_cell_angle_alpha 95.05
_cell_angle_beta 95.05
_cell_angle_gamma 120.05
_symmetry_space_group_name_H-M 'P 1'
_symmetry_Int_Tables_number 1
loop_
_symmetry_equiv_pos_as_xyz
'x,y,z'
loop_
_atom_site_label
_atom_site_type_symbol
_atom_site_fract_x
_atom_site_fract_y
_atom_site_fract_z
_atom_site_occupancy
Tb1 Tb 0.411 0.082 0.247 1
Tb2 Tb 0.247 0.247 0.752 1
Tb3 Tb 0.753 0.753 0.248 1
Tb4 Tb 0.082 0.411 0.247 1
Tb5 Tb 0.589 0.918 0.753 1
Tb6 Tb 0.918 0.589 0.753 1
Er1 Er 0.167 0.833 0.500 1
Er2 Er 0.833 0.167 0.500 1
Er3 Er 0.500 0.500 0.500 1
Tm1 Tm 0.334 0.666 0.000 1
Tm2 Tm 0.666 0.334 0.000 1
In1 In 0.000 0.000 0.000 1
# Formation enthalpy at 0 K ... -37 meV/atom
# Calculated total energy ... -4.466 eV per atom

[3]
# Tb2Er6Tm3In PBE relaxed
data_Tb2Er6Tm3In
_chemical_formula_sum 'Tb2 Er6 Tm3 In1'
_cell_length_a 6.021
_cell_length_b 6.021
_cell_length_c 11.551
_cell_angle_alpha 94.99
_cell_angle_beta 94.99
_cell_angle_gamma 120.03
_symmetry_space_group_name_H-M 'P 1'
_symmetry_Int_Tables_number 1
loop_
_symmetry_equiv_pos_as_xyz
'x,y,z'
loop_
_atom_site_label
_atom_site_type_symbol
_atom_site_fract_x
_atom_site_fract_y
_atom_site_fract_z
_atom_site_occupancy
Tm1 Tm 0.833 0.167 0.500 1
Tm2 Tm 0.500 0.500 0.500 1
Tm3 Tm 0.167 0.833 0.500 1
Tb1 Tb 0.666 0.334 0.000 1
Tb2 Tb 0.334 0.666 0.000 1
Er1 Er 0.083 0.412 0.249 1
Er2 Er 0.246 0.246 0.750 1
Er3 Er 0.412 0.083 0.249 1
Er4 Er 0.917 0.588 0.751 1
Er5 Er 0.588 0.917 0.751 1
Er6 Er 0.754 0.754 0.250 1
In1 In 0.000 0.000 0.000 1
# Formation enthalpy at 0 K ... -44 meV/atom
# Calculated total energy ... -4.443 eV per atom

[4]
# TbErTm2In PBE relaxed
data_TbErTm2In
_chemical_formula_sum 'Tb2 Er2 Tm4 In2'
_cell_length_a 3.456
_cell_length_b 10.348
_cell_length_c 9.114
_cell_angle_alpha 90.00
_cell_angle_beta 90.00
_cell_angle_gamma 99.61
_symmetry_space_group_name_H-M 'P 1'
_symmetry_Int_Tables_number 1
loop_
_symmetry_equiv_pos_as_xyz
'x,y,z'
loop_
_atom_site_label
_atom_site_type_symbol
_atom_site_fract_x
_atom_site_fract_y
_atom_site_fract_z
_atom_site_occupancy
Tm1 Tm 0.333 0.665 0.446 1
Tm2 Tm 0.667 0.335 0.554 1
Tm3 Tm 0.333 0.665 0.054 1
Tm4 Tm 0.667 0.335 0.946 1
Er1 Er 0.106 0.212 0.250 1
Er2 Er 0.894 0.788 0.750 1
In1 In 0.737 0.475 0.250 1
In2 In 0.263 0.525 0.750 1
Tb1 Tb 0.500 0.000 0.500 1
Tb2 Tb 0.500 0.000 0.000 1
# Formation enthalpy at 0 K ... 78 meV/atom
# Calculated total energy ... -4.097 eV per atom

[5]
# Tb3Er6Tm2In PBE relaxed
data_Tb3Er6Tm2In
_chemical_formula_sum 'Tb3 Er6 Tm2 In1'
_cell_length_a 6.050
_cell_length_b 6.050
_cell_length_c 11.522
_cell_angle_alpha 95.05
_cell_angle_beta 95.05
_cell_angle_gamma 120.02
_symmetry_space_group_name_H-M 'P 1'
_symmetry_Int_Tables_number 1
loop_
_symmetry_equiv_pos_as_xyz
'x,y,z'
loop_
_atom_site_label
_atom_site_type_symbol
_atom_site_fract_x
_atom_site_fract_y
_atom_site_fract_z
_atom_site_occupancy
Tm1 Tm 0.666 0.334 0.000 1
Tm2 Tm 0.334 0.666 0.000 1
Er1 Er 0.751 0.751 0.246 1
Er2 Er 0.081 0.410 0.245 1
Er3 Er 0.249 0.249 0.754 1
Er4 Er 0.919 0.590 0.755 1
Er5 Er 0.410 0.081 0.245 1
Er6 Er 0.590 0.919 0.755 1
Tb1 Tb 0.833 0.167 0.500 1
Tb2 Tb 0.167 0.833 0.500 1
Tb3 Tb 0.500 0.500 0.500 1
In1 In 0.000 0.000 0.000 1
# Formation enthalpy at 0 K ... -36 meV/atom
# Calculated total energy ... -4.448 eV per atom

[6]
# TbEr2Tm5In PBE relaxed
data_TbEr2Tm5In
_chemical_formula_sum 'Tb2 Er4 Tm10 In2'
_cell_length_a 5.277
_cell_length_b 10.332
_cell_length_c 10.334
_cell_angle_alpha 90.00
_cell_angle_beta 90.00
_cell_angle_gamma 104.79
_symmetry_space_group_name_H-M 'P 1'
_symmetry_Int_Tables_number 1
loop_
_symmetry_equiv_pos_as_xyz
'x,y,z'
loop_
_atom_site_label
_atom_site_type_symbol
_atom_site_fract_x
_atom_site_fract_y
_atom_site_fract_z
_atom_site_occupancy
Tm1 Tm 0.289 0.578 0.708 1
Tm2 Tm 0.990 0.980 0.508 1
Tm3 Tm 0.010 0.020 0.008 1
Tm4 Tm 0.711 0.422 0.208 1
Tm5 Tm 0.500 0.000 0.758 1
Tm6 Tm 0.500 0.000 0.258 1
Tm7 Tm 0.383 0.766 0.008 1
Tm8 Tm 0.617 0.234 0.508 1
Tm9 Tm 0.289 0.578 0.308 1
Tm10 Tm 0.711 0.422 0.808 1
Tb1 Tb 0.792 0.584 0.508 1
Tb2 Tb 0.208 0.416 0.008 1
Er1 Er 0.884 0.767 0.220 1
Er2 Er 0.116 0.232 0.297 1
Er3 Er 0.116 0.233 0.720 1
Er4 Er 0.884 0.768 0.797 1
In1 In 0.596 0.191 0.008 1
In2 In 0.404 0.809 0.508 1
# Formation enthalpy at 0 K ... 2 meV/atom
# Calculated total energy ... -4.315 eV per atom

What did the sixth record say?
# TbEr2Tm5In PBE relaxed
data_TbEr2Tm5In
_chemical_formula_sum 'Tb2 Er4 Tm10 In2'
_cell_length_a 5.277
_cell_length_b 10.332
_cell_length_c 10.334
_cell_angle_alpha 90.00
_cell_angle_beta 90.00
_cell_angle_gamma 104.79
_symmetry_space_group_name_H-M 'P 1'
_symmetry_Int_Tables_number 1
loop_
_symmetry_equiv_pos_as_xyz
'x,y,z'
loop_
_atom_site_label
_atom_site_type_symbol
_atom_site_fract_x
_atom_site_fract_y
_atom_site_fract_z
_atom_site_occupancy
Tm1 Tm 0.289 0.578 0.708 1
Tm2 Tm 0.990 0.980 0.508 1
Tm3 Tm 0.010 0.020 0.008 1
Tm4 Tm 0.711 0.422 0.208 1
Tm5 Tm 0.500 0.000 0.758 1
Tm6 Tm 0.500 0.000 0.258 1
Tm7 Tm 0.383 0.766 0.008 1
Tm8 Tm 0.617 0.234 0.508 1
Tm9 Tm 0.289 0.578 0.308 1
Tm10 Tm 0.711 0.422 0.808 1
Tb1 Tb 0.792 0.584 0.508 1
Tb2 Tb 0.208 0.416 0.008 1
Er1 Er 0.884 0.767 0.220 1
Er2 Er 0.116 0.232 0.297 1
Er3 Er 0.116 0.233 0.720 1
Er4 Er 0.884 0.768 0.797 1
In1 In 0.596 0.191 0.008 1
In2 In 0.404 0.809 0.508 1
# Formation enthalpy at 0 K ... 2 meV/atom
# Calculated total energy ... -4.315 eV per atom